## AlZn2Br (GGA-PBEsol)

Data for a relaxed structure of AlZn2Br.

```
4
Lattice="-2.489 -2.958 -0.784 2.369 -2.502 1.921 -2.424 3.680 3.732" Properties=species:S:1:pos:R:3 pbc="T T T"
Zn 0.000 0.000 0.000
Zn -2.486 -1.004 1.758
Al -0.060 -2.730 0.568
Br -0.058 -0.776 3.111
```

Results
As for the magnetization: 0.00 Bohr magnetons per cell. The total DFT energy (no corrections) is -8.21 eV per cell. For the uncorrected formation energy, the calculation gives 228 meV per atom. The crystal system is tetragonal. The calculation puts the density of states at the Fermi level at 1.37 states/eV per cell. The calculation puts the energy relative to the lowest polymorph listed for this composition at 18 meV per atom.